# 1
The following is a DFT calculation (PBE) of a geometry-optimized CrHSe2 structure.

Calculated values
- Volume: 76.9 Å³/f.u.
- Uncorrected energy: -21.10 eV/f.u.
- Magnetization: 3.00 μB per cell

Lattice parameters (Å, degrees): 3.7718 3.7718 6.2431 90.00 90.00 120.00
Closest atoms and distances in Å follow each position.
Space group P3m1 (No. 156)
Unique sites:
Cr  0.0000  0.0000  0.0000 [1 per cell]  6 Se 2.54
H  0.3333  0.6667  0.5515 [1 per cell]  1 Se 1.50
Se  0.3333  0.6667  0.7917 [1 per cell]  1 H 1.50
Se  0.6667  0.3333  0.2106 [1 per cell]  3 Cr 2.54

# 2
The following is a DFT calculation (PBE) of a geometry-optimized Mg6Ir7 structure.

Calculated values
- Volume: 220.4 Å³/f.u.
- Uncorrected energy: -75.01 eV/f.u.
- Energy of formation from the pure elements: -0.263 eV per atom
- Magnetization: 1.11 μB per cell

Lattice parameters (Å, degrees): 5.3052 5.3052 27.1262 90.00 90.00 120.00
Closest atoms and distances in Å follow each position.
Space group R-3m (No. 166, hexagonal axes)
Unique sites:
Mg  0.0000  0.0000  0.0533 [6 per cell]  2 Mg 2.76-2.89, 6 Ir 2.83
Mg  0.0000  0.0000  0.1551 [6 per cell]  1 Mg 2.76, 6 Ir 2.84-3.08
Mg  0.0000  0.0000  0.3366 [6 per cell]  6 Ir 2.81-2.92, 3 Mg 3.07
Ir  0.0000  0.0000  0.5000 [3 per cell]  6 Ir 2.62
Ir  0.0079  0.5040  0.9106 [18 per cell]  5 Ir 2.59-2.72, 4 Mg 2.81-2.84

# 3
The following is a DFT calculation (PBE) of a geometry-optimized RbPmSc4S8 structure.

Calculated values
- Volume: 360.3 Å³/f.u.
- Uncorrected energy: -88.26 eV/f.u.
- Formation energy without anion corrections: -24.20 eV per formula unit
- Magnetization: 0.00 μB per cell

Lattice parameters (Å, degrees): 7.8221 7.8221 20.3981 90.00 90.00 120.00
Closest atoms and distances in Å follow each position.
Space group R3m (No. 160, hexagonal axes)
Unique sites:
Rb  0.0000  0.0000  0.0000 [3 per cell]  4 S 2.82-2.89
Pm  0.0000  0.0000  0.6428 [3 per cell]  6 S 2.76-2.90
Sc  0.0000  0.0000  0.2646 [3 per cell]  4 S 2.50-2.65
Sc  0.1730  0.3460  0.4684 [9 per cell]  3 S 2.48-2.50
S  0.0000  0.0000  0.3944 [3 per cell]  4 Sc 2.65-2.79
S  0.0000  0.0000  0.8620 [3 per cell]  3 Sc 2.50
S  0.0380  0.5190  0.4027 [9 per cell]  2 Sc 2.48, 1 Pm 2.76
S  0.1705  0.3411  0.2175 [9 per cell]  1 Sc 2.50

# 4
The following is a DFT calculation (PBE) of a geometry-optimized NaGeTe structure.

Calculated values
- Volume: 83.1 Å³/f.u.
- Uncorrected energy: -9.34 eV/f.u.
- Formation energy without anion corrections: -0.27 eV per formula unit
- Magnetization: 0.00 μB per cell

Lattice parameters (Å, degrees): 4.2791 4.2791 9.0772 90.00 90.00 90.00
Closest atoms and distances in Å follow each position.
Space group I4mm (No. 107)
Unique sites:
Na  0.0000  0.0000  0.0000 [2 per cell]  5 Ge 3.17-3.32, 5 Te 3.27-3.30
Ge  0.0000  0.0000  0.3488 [2 per cell]  1 Te 2.61
Te  0.0000  0.0000  0.6364 [2 per cell]  1 Ge 2.61

# 5
The following is a DFT calculation (PBE) of a geometry-optimized Tl4Bi4Pb3 structure.

Calculated values
- Volume: 353.9 Å³/f.u.
- Uncorrected energy: -36.12 eV/f.u.
- Energy of formation from the pure elements: -0.001 eV per atom
- Magnetization: 0.00 μB per cell

Lattice parameters (Å, degrees): 3.4671 5.6053 18.4249 98.60 91.85 90.04
Closest atoms and distances in Å follow each position.
Space group P1 (No. 1)
Unique sites:
Tl  0.0000  0.0000  0.0000 [1 per cell]  2 Tl 3.47, 5 Pb 3.54-3.69, 4 Bi 3.55-3.82
Tl  0.0628  0.6245  0.2589 [1 per cell]  5 Bi 3.46-3.72, 4 Tl 3.47-3.51, 2 Pb 3.62-3.66
Tl  0.8265  0.1783  0.3630 [1 per cell]  4 Tl 3.47-3.51, 5 Bi 3.48-3.70, 2 Pb 3.62-3.63
Tl  0.9045  0.8048  0.6260 [1 per cell]  2 Tl 3.47, 5 Pb 3.55-3.73, 6 Bi 3.68-3.84
Bi  0.3642  0.4471  0.9022 [1 per cell]  3 Pb 3.34-3.42, 3 Bi 3.34-3.47, 2 Tl 3.55-3.60
Bi  0.3986  0.7141  0.4406 [1 per cell]  2 Pb 3.31-3.33, 2 Bi 3.47, 5 Tl 3.47-3.70
Bi  0.4144  0.3552  0.7196 [1 per cell]  3 Pb 3.31-3.39, 3 Bi 3.34-3.47, 2 Tl 3.68-3.70
Bi  0.4809  0.0893  0.1815 [1 per cell]  2 Pb 3.33-3.34, 6 Tl 3.46-3.72, 2 Bi 3.47
Pb  0.3582  0.2633  0.5378 [1 per cell]  3 Bi 3.31-3.33, 2 Pb 3.47, 4 Tl 3.61-3.63
Pb  0.5452  0.5396  0.0832 [1 per cell]  3 Bi 3.33-3.34, 2 Pb 3.47, 6 Tl 3.57-3.69
Pb  0.6675  0.9029  0.8141 [1 per cell]  4 Bi 3.38-3.42, 2 Pb 3.47, 2 Tl 3.54-3.55

# 6
The following is a DFT calculation (PBE) of a geometry-optimized PrSm3Th2N6 structure.

Calculated values
- Volume: 203.2 Å³/f.u.
- Uncorrected energy: -101.97 eV/f.u.
- Formation energy without anion corrections: -18.24 eV per formula unit
- Magnetization: 0.00 μB per cell

Lattice parameters (Å, degrees): 15.7965 3.6398 7.2576 90.00 103.10 90.00
Closest atoms and distances in Å follow each position.
Space group C2/m (No. 12)
Unique sites:
Pr  0.0000  0.0000  0.0000 [2 per cell]  6 N 2.60
Sm  0.0000  0.0000  0.5000 [2 per cell]  6 N 2.54-2.59
Sm  0.1654  0.5000  0.8348 [4 per cell]  6 N 2.55-2.61
Th  0.1656  0.5000  0.3305 [4 per cell]  6 N 2.49-2.55
N  0.0037  0.5000  0.2582 [4 per cell]  1 Th 2.49, 3 Sm 2.54-2.60, 2 Pr 2.60
N  0.1691  0.0000  0.0914 [4 per cell]  2 Th 2.52, 3 Sm 2.55-2.59, 1 Pr 2.60
N  0.1686  0.0000  0.5778 [4 per cell]  3 Th 2.55, 3 Sm 2.59-2.61